Density functional theory data (PBE) for a relaxed structure of Ce3SmIr3.

Results
Formation enthalpy at 0 K   -596 meV/atom
Space-group type   C2/m, No. 12

Cell lengths 6.941, 6.941, 7.088 Å; angles 89.42, 89.42, 98.89 degrees
Each line ends with the local moment (μB).
Fractional positions:
Ce: 0.648 0.648 0.388  0.47
Ce: 0.185 0.815 0.500  0.15
Ce: 0.815 0.185 0.500  0.15
Ce: 0.245 0.755 0.000  0.04
Ce: 0.755 0.245 0.000  0.04
Ce: 0.352 0.352 0.612  0.47
Sm: 0.746 0.746 0.880  0.01
Sm: 0.254 0.254 0.120  0.01
Ir: 0.937 0.937 0.212  -0.02
Ir: 0.031 0.483 0.765  -0.02
Ir: 0.483 0.031 0.765  -0.02
Ir: 0.969 0.517 0.235  -0.02
Ir: 0.517 0.969 0.235  -0.02
Ir: 0.063 0.063 0.788  -0.02